Material: Li4Ti2Nb3Ni3O16
Method: DFT, GGA+U
State: relaxed

Output
The total energy is -7.248 eV per atom. Its theoretical density is 4.50 g/cm3. As for the symmetry: Cm.

Cell lengths 5.9814, 6.0472, 9.7875 Å; angles 90.88, 90.00, 119.64 degrees
With the nearest neighbours (Å) after each atom.
Atoms (fractional coordinates):
Li  0.3352  0.6705  0.1044  4 O 1.95-2.00
Li  0.6640  0.3279  0.5948  4 O 1.93-2.04
Li  0.0149  0.0298  0.0158  3 O 1.82-2.00
Li  0.0079  0.0158  0.4989  4 O 1.83-2.04
O  0.8227  0.1585  0.9062  1 Ti 1.93, 1 Li 2.00, 1 Ni 2.13, 1 Nb 2.15
O  0.0383  0.5298  0.6584  1 Nb 1.92, 1 Li 2.04, 1 Ni 2.14
O  0.6553  0.8189  0.4057  1 Ti 1.89, 1 Li 2.04
O  0.3373  0.6746  0.9047  1 Li 1.95, 1 Ni 2.06, 2 Nb 2.06
O  0.9958  0.9915  0.2005  1 Li 1.82, 1 Nb 1.97, 2 Ni 1.99
O  0.4915  0.5298  0.6584  1 Nb 1.92, 1 Li 2.04, 1 Ni 2.14
O  0.4843  0.9685  0.6568  1 Li 1.99, 2 Nb 2.09
O  0.1636  0.8189  0.4057  1 Ti 1.89, 1 Li 2.04
O  0.6775  0.3550  0.3980  1 Li 1.93, 1 Nb 1.97, 2 Ni 2.03
O  0.5216  0.0432  0.1497  1 Ti 1.82, 1 Li 2.00
O  0.8365  0.6730  0.9054  2 Nb 2.08, 1 Li 2.15
O  0.9654  0.4882  0.1511  1 Nb 1.95, 1 Li 1.98, 1 Ti 2.14
O  0.1732  0.3464  0.4109  1 Ti 1.83, 1 Li 1.95
O  0.0060  0.0120  0.6862  1 Li 1.83, 1 Ni 2.00, 2 Nb 2.05
O  0.5228  0.4882  0.1511  1 Nb 1.95, 1 Li 1.98, 1 Ti 2.14
O  0.3358  0.1585  0.9062  1 Ti 1.93, 1 Li 2.00, 1 Ni 2.13, 1 Nb 2.15
Ti  0.3308  0.6617  0.4922  3 O 1.83-1.89
Ti  0.6415  0.2831  0.0182  3 O 1.82-1.93
Ni  0.8303  0.1699  0.2924  6 O 1.99-2.19
Ni  0.1702  0.3404  0.7925  6 O 2.00-2.14
Ni  0.3396  0.1699  0.2924  6 O 1.99-2.19
Nb  0.1593  0.8167  0.7817  5 O 1.92-2.09
Nb  0.8221  0.6441  0.2721  4 O 1.95-1.97
Nb  0.6574  0.8167  0.7817  5 O 1.92-2.09